(1)
A crystal of ZrPb3 relaxed with PBEsol. Source: Alexandria via LeMat-Bulk, functional SCAN.

Results
The crystal system is orthorhombic. The value obtained for the formation enthalpy at 0 K is -0.19 eV/atom.

Cell lengths 6.0334, 7.2676, 9.6158 Å; angles 90.00, 90.00, 90.00 degrees
Fractional coordinates of all 16 atoms:
Pb1 0.5799 0.1987 0.5327
Pb2 0.5799 0.1987 0.9673
Pb3 0.3562 0.5034 0.7500
Pb4 0.0799 0.3013 0.4673
Pb5 0.9201 0.6987 0.5327
Pb6 0.1438 0.0034 0.7500
Pb7 0.6438 0.4966 0.2500
Pb8 0.8562 0.9966 0.2500
Pb9 0.9201 0.6987 0.9673
Pb10 0.4201 0.8013 0.4673
Pb11 0.4201 0.8013 0.0327
Pb12 0.0799 0.3013 0.0327
Zr1 0.6333 0.8641 0.7500
Zr2 0.8667 0.3641 0.7500
Zr3 0.1333 0.6359 0.2500
Zr4 0.3667 0.1359 0.2500

(2)
A crystal of Mn2Zn3Si4O14 relaxed with PBEsol. Source: Alexandria via LeMat-Bulk, functional SCAN.

Results
The value obtained for the uncorrected formation energy is -2.42 eV/atom. The crystal system is monoclinic.

Cell lengths 7.6761, 9.0615, 9.5511 Å; angles 63.72, 66.31, 64.94 degrees
Fractional coordinates of all 46 atoms:
O1 0.3079 0.0411 0.8256
O2 0.9049 0.6520 0.9403
O3 0.3193 0.0749 0.2235
O4 0.8254 0.5411 0.3256
O5 0.4926 0.6945 0.8716
O6 0.4972 0.8480 0.5597
O7 0.6807 0.9251 0.7765
O8 0.9412 0.1945 0.3716
O9 0.4503 0.8107 0.0915
O10 0.5028 0.1520 0.4403
O11 0.7662 0.5317 0.6746
O12 0.5074 0.3055 0.1284
O13 0.6921 0.9589 0.1744
O14 0.5497 0.1893 0.9085
O15 0.3525 0.6893 0.4085
O16 0.6475 0.3107 0.5915
O17 0.1746 0.4589 0.6744
O18 0.6177 0.4251 0.2765
O19 0.0588 0.8055 0.6284
O20 0.1150 0.7630 0.0892
O21 0.0951 0.3480 0.0597
O22 0.9726 0.9683 0.8254
O23 0.8850 0.2370 0.9108
O24 0.9671 0.7370 0.4108
O25 0.0274 0.0317 0.1746
O26 0.3823 0.5749 0.7235
O27 0.0329 0.2630 0.5892
O28 0.2338 0.4683 0.3254
Mn1 0.7924 0.2500 0.7500
Mn2 0.2076 0.7500 0.2500
Mn3 0.0000 0.0000 0.0000
Mn4 0.0000 0.5000 0.5000
Si1 0.2439 0.6355 0.6022
Si2 0.5409 0.6639 0.7025
Si3 0.4591 0.3361 0.2975
Si4 0.4817 0.8645 0.8978
Si5 0.5183 0.1355 0.1022
Si6 0.0928 0.1639 0.2025
Si7 0.9072 0.8361 0.7975
Si8 0.7561 0.3645 0.3978
Zn1 0.2772 0.0649 0.6087
Zn2 0.0493 0.5649 0.1087
Zn3 0.6005 0.7500 0.2500
Zn4 0.9507 0.4351 0.8913
Zn5 0.7228 0.9351 0.3913
Zn6 0.3995 0.2500 0.7500

(3)
A crystal of USiPt relaxed with PBEsol. Source: Alexandria via LeMat-Bulk, functional SCAN.

Results
The value obtained for the uncorrected formation energy is -0.63 eV/atom. The crystal system is orthorhombic.

Cell lengths 3.9426, 4.0116, 6.6742 Å; angles 72.51, 90.00, 90.00 degrees
Fractional coordinates of all 6 atoms:
Si1 0.2500 0.1198 0.7604
Si2 0.7500 0.8802 0.2396
Pt1 0.2500 0.7658 0.4685
Pt2 0.7500 0.2342 0.5315
U1 0.2500 0.4390 0.1220
U2 0.7500 0.5610 0.8780

(4)
A crystal of TlP2Ru relaxed with PBEsol. Source: Alexandria via LeMat-Bulk, functional SCAN.

Results
The crystal system is orthorhombic. The value obtained for the formation enthalpy at 0 K is 0.76 eV/atom. As for the energy above the most stable polymorph in this dataset: 316 kJ/mol of formula units.

Cell lengths 3.2533, 4.5763, 4.5763 Å; angles 108.07, 90.00, 90.00 degrees
Fractional coordinates of all 4 atoms:
Ru1 0.5000 0.0000 0.0000
Tl1 0.5000 0.5000 0.5000
P1 0.0000 0.0000 0.5000
P2 0.0000 0.5000 0.0000

(5)
A crystal of ZnSb2ClO relaxed with PBEsol. Source: Alexandria via LeMat-Bulk, functional SCAN.

Results
The value obtained for the uncorrected formation energy is 0.67 eV/atom. The crystal system is tetragonal.

Cell lengths 4.5631, 5.0836, 5.0836 Å; angles 90.00, 90.00, 90.00 degrees
Fractional coordinates of all 5 atoms:
Sb1 0.0000 0.0000 0.5000
Sb2 0.0000 0.5000 0.0000
O1 0.5000 0.5000 0.5000
Zn1 0.0000 0.0000 0.0000
Cl1 0.5000 0.0000 0.0000

(6)
A crystal of ZnIrRu2 relaxed with PBEsol. Source: Alexandria via LeMat-Bulk, functional SCAN.

Results
The crystal system is tetragonal. The value obtained for the formation enthalpy at 0 K is 0.07 eV/atom.

Cell lengths 3.7213, 3.7213, 4.6950 Å; angles 113.35, 113.35, 90.00 degrees
Fractional coordinates of all 4 atoms:
Ru1 0.0000 0.0000 0.0000
Ru2 0.7500 0.2500 0.5000
Ir1 0.2500 0.7500 0.5000
Zn1 0.5000 0.5000 0.0000

(7)
A crystal of Be3MoPd relaxed with PBEsol. Source: Alexandria via LeMat-Bulk, functional SCAN.

Results
The crystal system is cubic. The value obtained for the formation enthalpy at 0 K is 1.28 eV/atom.

Cell lengths 4.1328, 4.1328, 4.1328 Å; angles 90.00, 90.00, 90.00 degrees
Fractional coordinates of all 5 atoms:
Be1 0.5000 0.0000 0.0000
Be2 0.0000 0.0000 0.5000
Be3 0.0000 0.5000 0.0000
Mo1 0.0000 0.0000 0.0000
Pd1 0.5000 0.5000 0.5000

(8)
A crystal of BaInIr relaxed with PBEsol. Source: Alexandria via LeMat-Bulk, functional SCAN.

Results
The crystal system is cubic. The value obtained for the formation enthalpy at 0 K is 0.89 eV/atom.

Cell lengths 5.0665, 5.0665, 5.0665 Å; angles 60.00, 60.00, 60.00 degrees
Fractional coordinates of all 3 atoms:
In1 0.0000 0.0000 0.0000
Ba1 0.2500 0.2500 0.2500
Ir1 0.5000 0.5000 0.5000

(9)
A crystal of RbLaMg2S relaxed with PBEsol. Source: Alexandria via LeMat-Bulk, functional SCAN.

Results
The value obtained for the uncorrected formation energy is -0.13 eV/atom. The crystal system is tetragonal.

Cell lengths 5.3804, 6.4607, 6.4607 Å; angles 90.00, 90.00, 90.00 degrees
Fractional coordinates of all 5 atoms:
La1 0.0000 0.0000 0.0000
Mg1 0.0000 0.0000 0.5000
Mg2 0.0000 0.5000 0.0000
Rb1 0.5000 0.5000 0.5000
S1 0.5000 0.0000 0.0000

(10)
A crystal of Mg2PRh relaxed with PBEsol. Source: Alexandria via LeMat-Bulk, functional SCAN.

Results
The crystal system is tetragonal. The value obtained for the formation enthalpy at 0 K is -0.10 eV/atom.

Cell lengths 5.1737, 5.6760, 5.6760 Å; angles 78.01, 62.89, 62.89 degrees
Fractional coordinates of all 8 atoms:
Mg1 0.1409 0.9841 0.4841
Mg2 0.8750 0.5159 0.9841
Mg3 0.6091 0.0159 0.5159
Mg4 0.3750 0.4841 0.0159
Rh1 0.7500 0.5000 0.5000
Rh2 0.0000 0.0000 0.0000
P1 0.5000 0.0000 0.0000
P2 0.2500 0.5000 0.5000